Compound: Ca2TlGa
Source: Alexandria
Functional: PBE
Structure: relaxed

Output
polymorph energy (0 for the lowest one): 0.000 eV per atom
formation enthalpy at 0 K: -0.433 eV/atom

Cell: 3.7312 3.7312 7.8222 Å, 90.00 90.00 90.00°
Positions (direct):
Ca  0.0000  0.0000  0.2317
Ca  0.0000  0.0000  0.7683
Tl  0.5000  0.5000  0.5000
Ga  0.5000  0.5000  0.0000